Entry 1:
Below is a geometry-optimized CsSeI2O structure, with properties calculated at the PBE-GGA level.

Its energy above the most stable polymorph in this dataset is 0 meV per atom. As for the raw formation energy: -2.772 eV per formula unit. As for the total magnetic moment: 0.0 μB per formula unit. The density comes out at 5.0 g cm⁻³. For the electronic total energy, the calculation gives -3.034 eV per atom. For the density of states at the Fermi level, the calculation gives 1.0 states/eV/cell.

Cell lengths 6.3741, 6.3741, 3.9414 Å; angles 90.00, 90.00, 90.00 degrees
Last column: nearest neighbours and their distance in Å.
Positions (direct):
Cs 0.5000 0.5000 0.5000  8 I 3.75, 2 Cs 3.94
I 0.0000 0.5000 0.0000  2 Se 3.19
I 0.5000 0.0000 0.0000  2 Se 3.19
O 0.0000 0.0000 0.5000  2 Se 1.97
Se 0.0000 0.0000 0.0000  2 O 1.97



Entry 2:
Below is a geometry-optimized CsSiIO2 structure, with properties calculated at the PBE-GGA level.

Its energy above the most stable polymorph in this dataset is 1039 meV per atom. As for the raw formation energy: 3.659 eV per formula unit. As for the total magnetic moment: 0.8 μB per formula unit. The density comes out at 3.6 g cm⁻³. For the electronic total energy, the calculation gives -2.817 eV per atom. For the density of states at the Fermi level, the calculation gives 3.0 states/eV/cell.

Cell lengths 4.3501, 4.3501, 7.8379 Å; angles 90.00, 90.00, 90.00 degrees
Last column: nearest neighbours and their distance in Å.
Positions (direct):
Cs 0.0000 0.0000 0.0000  4 O 2.18
I 0.0000 0.0000 0.5000  4 Si 3.08
Si 0.5000 0.5000 0.5000  4 I 3.08
O 0.0000 0.5000 0.0000  2 Cs 2.18
O 0.5000 0.0000 0.0000  2 Cs 2.18



Entry 3:
Below is a geometry-optimized CsSiIO2 structure, with properties calculated at the PBE-GGA level.

Its energy above the most stable polymorph in this dataset is 0 meV per atom. As for the raw formation energy: -1.534 eV per formula unit. As for the total magnetic moment: 0.3 μB per formula unit. The density comes out at 5.1 g cm⁻³. For the electronic total energy, the calculation gives -3.855 eV per atom. For the density of states at the Fermi level, the calculation gives 2.7 states/eV/cell.

Cell lengths 4.4007, 4.4007, 5.3489 Å; angles 90.00, 90.00, 90.00 degrees
Last column: nearest neighbours and their distance in Å.
Positions (direct):
Cs 0.5000 0.5000 0.5000  4 I 3.11, 8 O 3.46
I 0.0000 0.0000 0.5000  2 Si 2.67
Si 0.0000 0.0000 0.0000  4 O 2.20
O 0.0000 0.5000 0.0000  2 Si 2.20
O 0.5000 0.0000 0.0000  2 Si 2.20



Entry 4:
Below is a geometry-optimized CsSmI2O8 structure, with properties calculated at the PBE-GGA level.

As for the raw formation energy: -12.710 eV per formula unit. As for the total magnetic moment: 2.0 μB per formula unit. The density comes out at 3.8 g cm⁻³. For the electronic total energy, the calculation gives -5.087 eV per atom. For the density of states at the Fermi level, the calculation gives 2.3 states/eV/cell.

Cell lengths 6.2549, 6.2549, 8.6900 Å; angles 90.00, 90.00, 120.00 degrees
Last column: nearest neighbours and their distance in Å.
Positions (direct):
Cs 0.0000 0.0000 0.0000  12 O 3.43-3.70
Sm 0.0000 0.0000 0.5000  6 O 2.33
I 0.6667 0.3333 0.2967  4 O 1.79-1.91
I 0.3333 0.6667 0.7033  4 O 1.79-1.91
O 0.3333 0.6667 0.9092  1 I 1.79
O 0.3279 0.2300 0.3337  1 I 1.91
O 0.7700 0.0979 0.3337  1 I 1.91
O 0.6667 0.3333 0.0908  1 I 1.79
O 0.2300 0.9021 0.6663  1 I 1.91
O 0.6721 0.7700 0.6663  1 I 1.91
O 0.0979 0.3279 0.6663  1 I 1.91
O 0.9021 0.6721 0.3337  1 I 1.91



Entry 5:
Below is a geometry-optimized CsSnIO2 structure, with properties calculated at the PBE-GGA level.

As for the raw formation energy: -3.269 eV per formula unit. As for the total magnetic moment: 0.0 μB per formula unit. The density comes out at 5.5 g cm⁻³. For the electronic total energy, the calculation gives -3.918 eV per atom. For the density of states at the Fermi level, the calculation gives 2.2 states/eV/cell.

Cell lengths 4.5745, 4.5745, 5.9541 Å; angles 90.00, 90.00, 90.00 degrees
Last column: nearest neighbours and their distance in Å.
Positions (direct):
Cs 0.5000 0.5000 0.5000  4 I 3.23
I 0.0000 0.0000 0.5000  2 Sn 2.98, 4 Cs 3.23
Sn 0.0000 0.0000 0.0000  4 O 2.29
O 0.0000 0.5000 0.0000  2 Sn 2.29
O 0.5000 0.0000 0.0000  2 Sn 2.29



Entry 6:
Below is a geometry-optimized CsSn2IO structure, with properties calculated at the PBE-GGA level.

As for the raw formation energy: 1.401 eV per formula unit. As for the total magnetic moment: 0.0 μB per formula unit. The density comes out at 4.9 g cm⁻³. For the electronic total energy, the calculation gives -2.793 eV per atom. For the density of states at the Fermi level, the calculation gives 4.0 states/eV/cell.

Cell lengths 6.4791, 4.1148, 6.4791 Å; angles 90.00, 90.00, 90.00 degrees
Last column: nearest neighbours and their distance in Å.
Positions (direct):
Cs 0.5000 0.5000 0.5000  8 Sn 3.84, 2 Cs 4.11
I 0.0000 0.0000 0.0000  2 O 2.06
Sn 0.0000 0.0000 0.5000  2 I 3.24
Sn 0.5000 0.0000 0.0000  2 I 3.24
O 0.0000 0.5000 0.0000  2 I 2.06



Entry 7:
Below is a geometry-optimized CsSrI2O8 structure, with properties calculated at the PBE-GGA level.

As for the raw formation energy: -10.680 eV per formula unit. As for the total magnetic moment: 0.5 μB per formula unit. The density comes out at 4.0 g cm⁻³. For the electronic total energy, the calculation gives -4.665 eV per atom. For the density of states at the Fermi level, the calculation gives 4.2 states/eV/cell.

Cell lengths 6.3009, 6.3189, 8.0930 Å; angles 66.69, 67.09, 60.09 degrees
Last column: nearest neighbours and their distance in Å.
Positions (direct):
Cs 0.5000 0.5000 0.5000  2 O 3.09
Sr 0.0000 0.0000 0.0000  6 O 2.60
I 0.2744 0.2716 0.1796  4 O 1.81-1.85
I 0.7256 0.7284 0.8204  4 O 1.81-1.85
O 0.9107 0.4279 0.7507  1 I 1.85
O 0.6421 0.6444 0.0714  1 I 1.81
O 0.0893 0.5721 0.2493  1 I 1.85
O 0.3579 0.3556 0.9286  1 I 1.81
O 0.5758 0.0853 0.2508  1 I 1.85
O 0.4242 0.9147 0.7492  1 I 1.85
O 0.0881 0.0853 0.2508  1 I 1.85
O 0.9119 0.9147 0.7492  1 I 1.85



Entry 8:
Below is a geometry-optimized Cs2SrIO4 structure, with properties calculated at the PBE-GGA level.

As for the raw formation energy: -10.333 eV per formula unit. As for the total magnetic moment: 1.0 μB per formula unit. The density comes out at 4.8 g cm⁻³. For the electronic total energy, the calculation gives -4.388 eV per atom. For the density of states at the Fermi level, the calculation gives 0.5 states/eV/cell.

Cell lengths 6.3045, 6.3045, 6.3045 Å; angles 101.21, 113.75, 113.75 degrees
Last column: nearest neighbours and their distance in Å.
Positions (direct):
Cs 0.5000 0.7500 0.2500  8 O 3.14-3.41
Cs 0.0000 0.0000 0.0000  4 O 3.02
Sr 0.5000 0.2500 0.7500  4 O 2.45
I 0.0000 0.5000 0.5000  4 O 2.09
O 0.6000 0.3007 0.4199  1 I 2.09
O 0.1192 0.2992 0.6993  1 I 2.09
O 0.8808 0.5801 0.1800  1 I 2.09
O 0.4000 0.8200 0.7008  1 I 2.09



Entry 9:
Below is a geometry-optimized CsSrIO2 structure, with properties calculated at the PBE-GGA level.

Its energy above the most stable polymorph in this dataset is 694 meV per atom. As for the raw formation energy: -2.107 eV per formula unit. As for the total magnetic moment: 0.3 μB per formula unit. The density comes out at 4.1 g cm⁻³. For the electronic total energy, the calculation gives -3.222 eV per atom. For the density of states at the Fermi level, the calculation gives 2.9 states/eV/cell.

Cell lengths 4.7928, 4.7928, 6.6357 Å; angles 90.00, 90.00, 90.00 degrees
Last column: nearest neighbours and their distance in Å.
Positions (direct):
Cs 0.0000 0.0000 0.0000  4 O 2.40
I 0.0000 0.0000 0.5000  2 Cs 3.32, 4 Sr 3.39
O 0.0000 0.5000 0.0000  2 Cs 2.40
O 0.5000 0.0000 0.0000  2 Cs 2.40
Sr 0.5000 0.5000 0.5000  4 I 3.39



Entry 10:
Below is a geometry-optimized CsSrI2O structure, with properties calculated at the PBE-GGA level.

Its energy above the most stable polymorph in this dataset is 0 meV per atom. As for the raw formation energy: -7.089 eV per formula unit. As for the total magnetic moment: 1.0 μB per formula unit. The density comes out at 3.8 g cm⁻³. For the electronic total energy, the calculation gives -3.537 eV per atom. For the density of states at the Fermi level, the calculation gives 6.1 states/eV/cell.

Cell lengths 6.6710, 6.6710, 4.7798 Å; angles 90.00, 90.00, 90.00 degrees
Last column: nearest neighbours and their distance in Å.
Positions (direct):
Cs 0.5000 0.5000 0.5000  8 I 4.10
I 0.0000 0.5000 0.0000  2 Sr 3.34
I 0.5000 0.0000 0.0000  2 Sr 3.34
O 0.0000 0.0000 0.5000  2 Sr 2.39
Sr 0.0000 0.0000 0.0000  2 O 2.39



Entry 11:
Below is a geometry-optimized CsSrIO2 structure, with properties calculated at the PBE-GGA level.

Its energy above the most stable polymorph in this dataset is 0 meV per atom. As for the raw formation energy: -5.578 eV per formula unit. As for the total magnetic moment: 2.0 μB per formula unit. The density comes out at 3.5 g cm⁻³. For the electronic total energy, the calculation gives -3.916 eV per atom. For the density of states at the Fermi level, the calculation gives 7.1 states/eV/cell.

Cell lengths 5.1260, 5.1260, 6.7683 Å; angles 90.00, 90.00, 90.00 degrees
Last column: nearest neighbours and their distance in Å.
Positions (direct):
Cs 0.5000 0.5000 0.5000  4 I 3.62
I 0.0000 0.0000 0.5000  2 Sr 3.38, 4 Cs 3.62
O 0.0000 0.5000 0.0000  2 Sr 2.56
O 0.5000 0.0000 0.0000  2 Sr 2.56
Sr 0.0000 0.0000 0.0000  4 O 2.56



Entry 12:
Below is a geometry-optimized Cs2SrIO6 structure, with properties calculated at the PBE-GGA level.

As for the raw formation energy: -12.994 eV per formula unit. As for the total magnetic moment: 1.1 μB per formula unit. The density comes out at 5.3 g cm⁻³. For the electronic total energy, the calculation gives -4.768 eV per atom. For the density of states at the Fermi level, the calculation gives 8.4 states/eV/cell.

Cell lengths 6.3405, 6.3405, 6.3405 Å; angles 60.00, 60.00, 60.00 degrees
Last column: nearest neighbours and their distance in Å.
Positions (direct):
Cs 0.7500 0.7500 0.7500  12 O 3.19
Cs 0.2500 0.2500 0.2500  12 O 3.19
Sr 0.5000 0.5000 0.5000  6 O 2.57
I 0.0000 0.0000 0.0000  6 O 1.91
O 0.2130 0.7870 0.7870  1 I 1.91
O 0.2130 0.7870 0.2130  1 I 1.91
O 0.2130 0.2130 0.7870  1 I 1.91
O 0.7870 0.7870 0.2130  1 I 1.91
O 0.7870 0.2130 0.2130  1 I 1.91
O 0.7870 0.2130 0.7870  1 I 1.91



Entry 13:
Below is a geometry-optimized Cs2Sr2IO6 structure, with properties calculated at the PBE-GGA level.

As for the raw formation energy: -17.442 eV per formula unit. As for the total magnetic moment: 0.9 μB per formula unit. The density comes out at 4.6 g cm⁻³. For the electronic total energy, the calculation gives -4.892 eV per atom. For the density of states at the Fermi level, the calculation gives 3.0 states/eV/cell.

Cell lengths 6.2149, 6.2149, 7.2828 Å; angles 97.96, 97.96, 118.70 degrees
Last column: nearest neighbours and their distance in Å.
Positions (direct):
Cs 0.8318 0.1682 0.0000  4 O 3.04
Cs 0.1682 0.8318 0.0000  4 O 3.04
Sr 0.3362 0.6638 0.5000  6 O 2.54-2.57
Sr 0.6638 0.3362 0.5000  6 O 2.54-2.57
I 0.0000 0.0000 0.5000  6 O 2.05-2.06
O 0.7841 0.7841 0.6658  1 I 2.06
O 0.0479 0.3262 0.6595  1 I 2.05
O 0.2159 0.2159 0.3342  1 I 2.06
O 0.3262 0.0479 0.6595  1 I 2.05
O 0.9521 0.6738 0.3405  1 I 2.05
O 0.6738 0.9521 0.3405  1 I 2.05